Compound: NaYS2O8
Source: the Alexandria database
Functional: GGA-PBE
Structure: optimized geometry

Geometry as extended XYZ:
```
12
Lattice="5.408 0.000 0.000 -2.704 4.683 0.000 0.000 0.000 7.127" Properties=species:S:1:pos:R:3 pbc="T T T"
O 2.715 2.960 2.128
O -1.206 3.832 4.999
O 2.704 1.561 0.138
O 1.217 3.812 4.999
O 1.487 0.871 2.128
O 0.000 3.122 6.989
O 3.910 0.852 2.128
O -0.011 1.723 4.999
Y 0.000 0.000 3.564
S 2.704 1.561 1.586
S 0.000 3.122 5.541
Na 0.000 0.000 0.000
```

## Properties
Its theoretical density is 2.80 g cm⁻³. The symmetry is P-3, No. 147. The magnetization comes out at 0.000 μB/f.u. The density of states at the Fermi level is 0.0 states/eV per cell. The uncorrected formation energy is -2018 meV/atom.



Compound: Na2ZnSO6
Source: the Alexandria database
Functional: GGA-PBE
Structure: optimized geometry

Geometry as extended XYZ:
```
10
Lattice="-1.979 4.328 2.053 -4.313 -0.323 -3.476 -0.247 -2.467 4.964" Properties=species:S:1:pos:R:3 pbc="T T T"
Zn -0.989 2.164 1.026
O -2.419 1.341 5.448
O -2.276 2.773 2.566
O -4.263 -1.236 0.975
O -1.615 0.384 0.111
O -4.119 0.197 -1.908
O -4.924 1.153 3.430
S 0.000 0.000 0.000
Na -4.727 2.834 1.173
Na -1.811 -1.296 2.367
```

## Properties
Its theoretical density is 2.88 g cm⁻³. The symmetry is P-3m1, No. 164. The magnetization comes out at 2.014 μB/f.u. The density of states at the Fermi level is 3.6 states/eV per cell. The uncorrected formation energy is -1011 meV/atom.



Compound: Na2ZnS2O8
Source: the Alexandria database
Functional: GGA-PBE
Structure: optimized geometry

Geometry as extended XYZ:
```
104
Lattice="-3.824 -5.521 -8.104 7.437 1.439 -4.489 13.258 -11.380 1.496" Properties=species:S:1:pos:R:3 pbc="T T T"
O 11.256 -13.038 -5.947
O 4.002 -5.554 -2.396
O 12.869 -9.907 -8.700
O 8.598 -2.280 -3.618
O 10.743 -10.281 -7.583
O 3.845 -7.913 -7.611
O 14.113 -13.662 -10.305
O 7.147 0.137 -3.643
O 3.962 -5.374 -9.396
O 13.026 -7.548 -3.486
O 11.375 -10.987 -0.027
O 7.523 -11.273 -8.743
O 12.867 -10.499 -6.345
O 7.732 -11.097 -6.290
O 12.909 -10.087 -1.701
O 12.599 -14.756 -8.766
O 9.727 -8.615 -2.403
O 8.273 -13.181 -7.479
O 12.027 -12.591 -9.652
O 0.372 -3.292 -7.269
O 8.401 -6.962 -3.554
O 11.300 -12.966 -3.490
O 7.907 -9.350 -3.878
O 2.751 -3.465 -6.720
O 4.418 -9.959 -6.444
O 4.844 -2.871 -1.444
O 2.987 -2.688 -3.046
O 9.209 -13.298 -4.664
O 3.413 -3.293 -10.511
O 6.128 -5.180 -3.514
O 10.907 -3.030 -3.799
O 4.004 -4.962 -4.752
O 6.568 -4.332 -6.392
O 5.615 -2.424 -5.150
O 7.663 -2.163 -6.433
O 10.303 -11.130 -4.705
O 7.144 -6.847 -8.694
O 5.496 -4.474 -11.070
O 5.571 -2.496 -7.607
O 4.273 -0.706 -2.331
O 8.470 -8.500 -7.543
O 9.910 -8.390 -4.848
O 9.724 -15.599 -7.454
O 8.964 -6.112 -7.219
O 2.122 -9.086 -6.336
O 15.537 -9.990 -4.208
O 16.499 -12.169 -3.828
O 4.758 -7.150 -4.053
O 5.964 -12.432 -7.298
O 6.820 -4.532 -0.308
O 6.961 -7.072 -6.249
O 12.113 -8.312 -7.044
O 9.139 -4.365 -4.807
O 13.885 -12.774 -8.051
O 1.100 -3.917 -5.004
O 10.052 -10.930 -10.789
O 13.458 -12.169 -0.586
O 1.334 -5.472 -6.889
O 12.453 -5.503 -4.653
O 15.771 -11.545 -6.093
O 2.758 -1.800 -0.792
O 9.348 -4.188 -2.354
O 14.120 -11.997 -4.377
O 14.749 -6.376 -4.761
S 4.747 -5.733 -3.708
S 15.502 -11.392 -4.640
S 7.393 -11.971 -7.469
S 10.559 -12.603 -4.692
S 13.141 -13.463 -9.166
S 8.976 -8.348 -3.635
S 12.124 -9.729 -7.389
S 3.730 -1.999 -1.931
S 3.329 -9.219 -7.171
S 6.312 -2.859 -6.405
S 9.478 -3.491 -3.628
S 4.090 -4.628 -10.657
S 13.542 -6.243 -3.926
S 1.369 -4.070 -6.456
S 7.895 -7.114 -7.462
S 12.781 -10.834 -0.440
Zn 3.624 -2.820 -4.980
Zn 9.334 -9.838 -6.180
Zn 13.247 -12.641 -6.117
Zn 7.537 -5.624 -4.916
Zn 8.209 -0.763 -5.086
Zn 4.887 -4.888 -0.710
Zn 11.984 -10.574 -10.387
Zn 8.662 -14.698 -6.011
Na 5.876 -8.913 -4.927
Na 9.326 -9.427 -0.187
Na 1.702 -5.173 -3.043
Na 8.594 -6.089 -1.323
Na 17.938 -10.686 -2.600
Na 0.108 -7.474 -6.421
Na 13.627 -7.866 -1.196
Na 0.026 -2.099 -4.025
Na 16.845 -13.363 -7.071
Na 8.277 -9.373 -9.774
Na 7.732 -11.728 -3.565
Na 12.329 -9.740 -3.947
Na 10.995 -6.549 -6.170
Na 3.244 -7.596 -9.901
Na 4.542 -5.722 -7.150
Na -1.067 -4.776 -8.497
```

## Properties
Its theoretical density is 2.84 g cm⁻³. The symmetry is P2/c, No. 13. The magnetization comes out at 0.001 μB/f.u. The density of states at the Fermi level is 0.0 states/eV per cell. The uncorrected formation energy is -1641 meV/atom.



Compound: NaZrSO
Source: the Alexandria database
Functional: GGA-PBE
Structure: optimized geometry

Geometry as extended XYZ:
```
4
Lattice="-0.199 -3.373 0.284 2.357 1.712 1.735 -4.892 2.350 4.306" Properties=species:S:1:pos:R:3 pbc="T T T"
Na -2.731 0.081 2.935
O -0.920 -1.777 2.323
S -3.131 1.976 4.919
Zr 1.558 1.490 2.362
```

## Properties
Its theoretical density is 4.07 g cm⁻³. The symmetry is Cm, No. 8. The magnetization comes out at 0.000 μB/f.u. The density of states at the Fermi level is 2.4 states/eV per cell. The uncorrected formation energy is -1792 meV/atom.